1.
An optimized crystal structure of LiLaTeI, computed with PBE.

Unit cell a=4.475 b=4.475 c=15.910 alpha=81.92 beta=81.92 gamma=60.00
Positions (direct):
La: 0.918 0.918 0.246
I: 0.208 0.208 0.375
Li: 0.688 0.688 0.936
Te: 0.373 0.373 0.881
Te: 0.627 0.627 0.119
I: 0.792 0.792 0.625
Li: 0.312 0.312 0.064
La: 0.082 0.082 0.754

Summary:
The total magnetic moment comes out at 0.0 μB per cell. As for the total DFT energy (no corrections): -4.153 eV per atom.


2.
An optimized crystal structure of LiLaTe2I, computed with PBE.

Unit cell a=6.171 b=6.171 c=6.356 alpha=90.00 beta=90.00 gamma=90.00
Positions (direct):
Li: 0.500 0.500 0.500
La: 0.000 0.000 0.000
Te: 0.000 0.500 0.000
Te: 0.500 0.000 0.000
I: 0.000 0.000 0.500

Summary:
The total magnetic moment comes out at 0.0 μB per cell. The distance to the lowest polymorph of the same formula comes out at 0.046 eV per atom. As for the total DFT energy (no corrections): -3.659 eV per atom.


3.
An optimized crystal structure of LiLaTe2I, computed with PBE.

Unit cell a=5.231 b=5.231 c=5.444 alpha=90.00 beta=90.00 gamma=90.00
Positions (direct):
Te: 0.500 0.000 0.000
Te: 0.000 0.500 0.000
La: 0.500 0.500 0.500
I: 0.000 0.000 0.500
Li: 0.000 0.000 0.000

Summary:
The total magnetic moment comes out at 0.0 μB per cell. The distance to the lowest polymorph of the same formula comes out at 0.000 eV per atom. As for the total DFT energy (no corrections): -3.705 eV per atom.


4.
An optimized crystal structure of Li2LaTlI6, computed with PBE.

Unit cell a=7.978 b=7.978 c=8.559 alpha=62.22 beta=62.21 gamma=59.99
Positions (direct):
I: 0.612 0.255 0.236
I: 0.350 0.747 0.747
Li: 0.006 0.006 0.983
I: 0.157 0.350 0.747
Tl: 0.808 0.808 0.577
I: 0.255 0.896 0.236
I: 0.747 0.157 0.747
I: 0.896 0.612 0.236
La: 0.321 0.321 0.038
Li: 0.510 0.511 0.469

Summary:
The total magnetic moment comes out at 0.0 μB per cell. As for the total DFT energy (no corrections): -3.231 eV per atom.


5.
An optimized crystal structure of Li2LaWI, computed with PBE.

Unit cell a=5.955 b=5.935 c=5.955 alpha=90.00 beta=90.00 gamma=90.00
Site moments in Bohr magnetons follow the coordinates.
Positions (direct):
W: 0.500 0.500 0.500  -3.50
Li: 0.000 0.000 0.500  0.06
Li: 0.500 0.000 0.000  0.09
I: 0.000 0.500 0.000  -0.05
La: 0.000 0.000 0.000  0.50

Summary:
The total magnetic moment comes out at 3.8 μB per cell. As for the total DFT energy (no corrections): -2.982 eV per atom.


6.
An optimized crystal structure of LiLaZr2I, computed with PBE.

Unit cell a=5.231 b=5.704 c=5.231 alpha=90.00 beta=90.00 gamma=90.00
Positions (direct):
Li: 0.000 0.500 0.000
La: 0.000 0.000 0.000
Zr: 0.000 0.000 0.500
Zr: 0.500 0.000 0.000
I: 0.500 0.500 0.500

Summary:
The total magnetic moment comes out at 0.0 μB per cell. As for the total DFT energy (no corrections): -3.964 eV per atom.


7.
An optimized crystal structure of LaMg3I, computed with PBE.

Unit cell a=6.541 b=6.541 c=6.541 alpha=90.00 beta=90.00 gamma=90.00
Positions (direct):
I: 0.500 0.500 0.500
Mg: 0.500 0.000 0.000
Mg: 0.000 0.000 0.500
La: 0.000 0.000 0.000
Mg: 0.000 0.500 0.000

Summary:
The total magnetic moment comes out at 0.0 μB per cell. The distance to the lowest polymorph of the same formula comes out at 0.307 eV per atom. As for the total DFT energy (no corrections): -1.469 eV per atom.


8.
An optimized crystal structure of La2MgI, computed with PBE.

Unit cell a=8.952 b=8.952 c=7.212 alpha=51.64 beta=51.64 gamma=90.00
Positions (direct):
La: 0.375 0.358 0.750
Mg: 0.500 0.500 0.000
I: 0.750 0.250 0.500
La: 0.108 0.625 0.250
I: 0.000 0.000 0.000
La: 0.642 0.125 0.250
Mg: 0.250 0.750 0.500
La: 0.875 0.892 0.750

Summary:
The total magnetic moment comes out at 0.0 μB per cell. The distance to the lowest polymorph of the same formula comes out at 0.228 eV per atom. As for the total DFT energy (no corrections): -3.488 eV per atom.


So what do the calculations give for theoretical density? Going down the list: 4.9 3.6 5.9 4.7 3.7 4.8 2.0 5.1 Mg/m³.
So what do the calculations give for formation energy (no corrections)? Going down the list: -1.270 -0.724 -0.770 -1.188 1.670 1.133 0.784 -0.239 eV/atom.